First-principles (PBE-GGA) data for an optimized crystal structure of AgPb2, as listed in Alexandria.

SG ... Cm
Size of the total moment ... 0.00 μB per cell
Theoretical density ... 10.65 Mg/m³
Calculated formation energy ... 0.071 eV/atom
DOS(E_F) ... 1.02 states/eV/f.u.

a = 5.960 Å, b = 5.960 Å, c = 8.418 Å
α = 81.13°, β = 81.13°, γ = 33.49°
Sites, in units of the cell vectors:
Ag1 0.369 0.369 0.257
Pb1 0.891 0.891 0.553
Ag2 0.030 0.030 0.049
Pb2 0.601 0.601 0.737
Pb3 0.305 0.305 0.928
Pb4 0.638 0.638 0.310



First-principles (PBE-GGA) data for an optimized crystal structure of Tb2SmCdAu4, as listed in Alexandria.

SG ... R-3m
Size of the total moment ... 0.00 μB per cell
Theoretical density ... 12.34 Mg/m³
Calculated formation energy ... -0.749 eV/atom
DOS(E_F) ... 5.36 states/eV/f.u.

a = 5.057 Å, b = 5.057 Å, c = 8.811 Å
α = 73.33°, β = 73.33°, γ = 60.00°
Sites, in units of the cell vectors:
Au1 0.369 0.369 0.892
Tb1 0.242 0.242 0.274
Au2 0.121 0.121 0.638
Sm1 0.000 0.000 0.000
Cd1 0.500 0.500 0.500
Au3 0.879 0.879 0.362
Au4 0.631 0.631 0.108
Tb2 0.758 0.758 0.726



First-principles (PBE-GGA) data for an optimized crystal structure of PmSiRh, as listed in Alexandria.

SG ... P-6m2
Energy above the most stable polymorph in this dataset ... 77 meV per atom
Size of the total moment ... 0.00 μB per cell
Theoretical density ... 7.43 Mg/m³
DOS(E_F) ... 3.11 states/eV/f.u.
ΔE_f (raw) ... -0.887 eV per atom

a = 4.057 Å, b = 4.190 Å, c = 4.190 Å
α = 120.00°, β = 90.00°, γ = 90.00°
Sites, in units of the cell vectors:
Si1 0.167 0.000 0.000
Pm1 0.667 0.667 0.333
Rh1 0.167 0.333 0.667



First-principles (PBE-GGA) data for an optimized crystal structure of K2RbSb2H2, as listed in Alexandria.

SG ... C2/m
Total DFT energy (no corrections) ... -2.73 eV/atom
Size of the total moment ... 0.00 μB per cell
Theoretical density ... 2.89 Mg/m³
DOS(E_F) ... 5.02 states/eV/f.u.

a = 6.771 Å, b = 4.773 Å, c = 10.637 Å
α = 80.28°, β = 90.00°, γ = 135.18°
Sites, in units of the cell vectors:
H1 0.560 0.120 0.161
Sb1 0.311 0.622 0.259
K1 0.228 0.456 0.623
H2 0.440 0.880 0.839
Sb2 0.689 0.378 0.741
K2 0.772 0.544 0.377
Rb1 0.000 0.000 0.000



First-principles (PBE-GGA) data for an optimized crystal structure of Nb12VGa6, as listed in Alexandria.

SG ... R-3
Size of the total moment ... 0.00 μB per cell
Theoretical density ... 8.00 Mg/m³
Calculated formation energy ... -0.128 eV/atom
DOS(E_F) ... 13.97 states/eV/f.u.

a = 6.902 Å, b = 6.902 Å, c = 6.902 Å
α = 89.61°, β = 89.61°, γ = 89.61°
Sites, in units of the cell vectors:
Nb1 0.944 0.861 0.625
Nb2 0.486 0.573 0.191
V1 0.000 0.000 0.000
Ga1 0.265 0.119 0.743
Nb3 0.861 0.625 0.944
Nb4 0.139 0.375 0.056
Nb5 0.809 0.514 0.427
Ga2 0.257 0.735 0.881
Nb6 0.625 0.944 0.861
Ga3 0.743 0.265 0.119
Nb7 0.375 0.056 0.139
Nb8 0.573 0.191 0.486
Nb9 0.427 0.809 0.514
Nb10 0.514 0.427 0.809
Ga4 0.119 0.743 0.265
Nb11 0.191 0.486 0.573
Nb12 0.056 0.139 0.375
Ga5 0.735 0.881 0.257
Ga6 0.881 0.257 0.735



First-principles (PBE-GGA) data for an optimized crystal structure of GdZr2Pa, as listed in Alexandria.

SG ... P4/mmm
Energy above the most stable polymorph in this dataset ... 0 meV per atom
Size of the total moment ... 7.51 μB per cell
Theoretical density ... 9.02 Mg/m³
Calculated formation energy ... 0.115 eV/atom
DOS(E_F) ... 6.31 states/eV/f.u.

a = 3.849 Å, b = 3.849 Å, c = 7.092 Å
α = 90.00°, β = 90.00°, γ = 90.00°
Sites, in units of the cell vectors:
Gd1 0.500 0.500 0.500
Pa1 0.500 0.500 0.000
Zr1 0.000 0.000 0.208
Zr2 0.000 0.000 0.792



First-principles (PBE-GGA) data for an optimized crystal structure of Tb2Mn17, as listed in Alexandria.

SG ... R-3m
Size of the total moment ... 4.21 μB per cell
Theoretical density ... 8.25 Mg/m³
Calculated formation energy ... 0.006 eV/atom
DOS(E_F) ... 18.40 states/eV/f.u.

a = 6.328 Å, b = 6.328 Å, c = 6.328 Å
α = 86.30°, β = 86.30°, γ = 86.30°
Sites, in units of the cell vectors:
Mn1 0.725 0.000 0.275
Mn2 0.000 0.725 0.275
Mn3 0.355 0.355 0.877
Mn4 0.275 0.000 0.725
Mn5 0.725 0.275 0.000
Mn6 0.123 0.645 0.645
Mn7 0.900 0.900 0.900
Mn8 0.275 0.725 0.000
Tb1 0.645 0.645 0.645
Mn9 0.100 0.100 0.100
Mn10 0.000 0.500 0.000
Mn11 0.645 0.123 0.645
Mn12 0.355 0.877 0.355
Mn13 0.000 0.275 0.725
Mn14 0.877 0.355 0.355
Mn15 0.500 0.000 0.000
Mn16 0.645 0.645 0.123
Tb2 0.355 0.355 0.355
Mn17 0.000 0.000 0.500



First-principles (PBE-GGA) data for an optimized crystal structure of PmPaInO6, as listed in Alexandria.

SG ... P312
Size of the total moment ... 0.55 μB per cell
Theoretical density ... 7.17 Mg/m³
DOS(E_F) ... 8.26 states/eV/f.u.
ΔE_f (raw) ... -2.598 eV per atom

a = 4.815 Å, b = 5.710 Å, c = 5.710 Å
α = 120.00°, β = 90.00°, γ = 90.00°
Sites, in units of the cell vectors:
In1 0.500 0.000 0.000
Pa1 0.000 0.333 0.667
O1 0.746 0.025 0.339
Pm1 0.500 0.667 0.333
O2 0.746 0.314 0.975
O3 0.746 0.661 0.686
O4 0.254 0.661 0.975
O5 0.254 0.314 0.339
O6 0.254 0.025 0.686



Copy entry 5 word for word.
First-principles (PBE-GGA) data for an optimized crystal structure of Nb12VGa6, as listed in Alexandria.

SG ... R-3
Size of the total moment ... 0.00 μB per cell
Theoretical density ... 8.00 Mg/m³
Calculated formation energy ... -0.128 eV/atom
DOS(E_F) ... 13.97 states/eV/f.u.

a = 6.902 Å, b = 6.902 Å, c = 6.902 Å
α = 89.61°, β = 89.61°, γ = 89.61°
Sites, in units of the cell vectors:
Nb1 0.944 0.861 0.625
Nb2 0.486 0.573 0.191
V1 0.000 0.000 0.000
Ga1 0.265 0.119 0.743
Nb3 0.861 0.625 0.944
Nb4 0.139 0.375 0.056
Nb5 0.809 0.514 0.427
Ga2 0.257 0.735 0.881
Nb6 0.625 0.944 0.861
Ga3 0.743 0.265 0.119
Nb7 0.375 0.056 0.139
Nb8 0.573 0.191 0.486
Nb9 0.427 0.809 0.514
Nb10 0.514 0.427 0.809
Ga4 0.119 0.743 0.265
Nb11 0.191 0.486 0.573
Nb12 0.056 0.139 0.375
Ga5 0.735 0.881 0.257
Ga6 0.881 0.257 0.735



Q: Look up the theoretical density of the fourth one.
A: 2.89 Mg/m³



Q: The lowest DOS(E_F) belongs to which entry?
A: AgPb2